Entry from the Alexandria database: a geometry-optimized Na2AgI4 structure (PBE-GGA).

```
data_Na2AgI4
_space_group_name_H-M_alt 'I 4/m m m'
_space_group_IT_number 139
_space_group_name_Hall '-I 4 2'
_cell_length_a 5.794
_cell_length_b 5.794
_cell_length_c 16.169
_cell_angle_alpha 90.00
_cell_angle_beta 90.00
_cell_angle_gamma 90.00
loop_
_atom_site_label
_atom_site_type_symbol
_atom_site_fract_x
_atom_site_fract_y
_atom_site_fract_z
Na1 Na 0.000 0.000 0.128
Ag1 Ag 0.000 0.000 0.500
I1 I 0.000 0.000 0.319
I2 I 0.000 0.500 0.000
```

Its uncorrected formation energy is -0.62 eV/atom. As for the energy above the lowest structure with this stoichiometry: 0.0640 eV per atom. The value obtained for the final energy is -2.29 eV/atom.

=====

Entry from the Alexandria database: a geometry-optimized Na2NdAgI6 structure (PBE-GGA).

```
data_Na2NdAgI6
_space_group_name_H-M_alt 'R 3'
_space_group_IT_number 146
_space_group_name_Hall 'R 3'
_cell_length_a 7.9742
_cell_length_b 7.9742
_cell_length_c 22.8548
_cell_angle_alpha 90.00
_cell_angle_beta 90.00
_cell_angle_gamma 120.00
loop_
_atom_site_label
_atom_site_type_symbol
_atom_site_fract_x
_atom_site_fract_y
_atom_site_fract_z
Na1 Na 0.0000 0.0000 0.0000
Na2 Na 0.0000 0.0000 0.4850
Nd1 Nd 0.0000 0.0000 0.8049
Ag1 Ag 0.0000 0.0000 0.2241
I1 I 0.0028 0.3461 0.0704
I2 I 0.0276 0.6702 0.5652
```

Its uncorrected formation energy is -1.10 eV/atom. The value obtained for the final energy is -3.06 eV/atom.

=====

Entry from the Alexandria database: a geometry-optimized NaNpAgI6 structure (PBE-GGA).

```
data_NaNpAgI6
_space_group_name_H-M_alt 'P -3 1 c'
_space_group_IT_number 163
_space_group_name_Hall '-P 3 2c'
_cell_length_a 7.6531
_cell_length_b 7.6531
_cell_length_c 14.5519
_cell_angle_alpha 90.00
_cell_angle_beta 90.00
_cell_angle_gamma 120.00
loop_
_atom_site_label
_atom_site_type_symbol
_atom_site_fract_x
_atom_site_fract_y
_atom_site_fract_z
Na1 Na 0.0000 0.0000 0.0000
Np1 Np 0.3333 0.6667 0.2500
Ag1 Ag 0.3333 0.6667 0.7500
I1 I 0.0065 0.3528 0.1293
```

Its uncorrected formation energy is -0.73 eV/atom. The value obtained for the final energy is -3.67 eV/atom.

=====

Entry from the Alexandria database: a geometry-optimized Na2NpAgI6 structure (PBE-GGA).

```
data_Na2NpAgI6
_space_group_name_H-M_alt 'P 1 21/c 1'
_space_group_IT_number 14
_cell_length_a 7.689
_cell_length_b 8.332
_cell_length_c 13.941
_cell_angle_alpha 90.00
_cell_angle_beta 122.09
_cell_angle_gamma 90.00
loop_
_space_group_symop_operation_xyz
'x,y,z'
'-x,-y,-z'
'-x,y+1/2,-z+1/2'
'x,-y+1/2,z+1/2'
loop_
_atom_site_label
_atom_site_type_symbol
_atom_site_fract_x
_atom_site_fract_y
_atom_site_fract_z
Na1 Na 0.197 0.103 0.241
Np1 Np 0.500 0.000 0.000
Ag1 Ag 0.000 0.000 0.500
I1 I 0.101 0.191 0.925
I2 I 0.249 0.680 0.929
I3 I 0.404 0.052 0.754
```

Its uncorrected formation energy is -0.85 eV/atom. The value obtained for the final energy is -3.63 eV/atom.

=====

Entry from the Alexandria database: a geometry-optimized NaNpAg2I8 structure (PBE-GGA).

```
data_NaNpAg2I8
_space_group_name_H-M_alt 'I -4 m 2'
_space_group_IT_number 119
_space_group_name_Hall 'I -4 -2'
_cell_length_a 10.199
_cell_length_b 10.199
_cell_length_c 9.804
_cell_angle_alpha 90.00
_cell_angle_beta 90.00
_cell_angle_gamma 90.00
loop_
_atom_site_label
_atom_site_type_symbol
_atom_site_fract_x
_atom_site_fract_y
_atom_site_fract_z
Na1 Na 0.000 0.000 0.000
Np1 Np 0.000 0.500 0.750
Ag1 Ag 0.000 0.000 0.500
Ag2 Ag 0.000 0.500 0.250
I1 I 0.000 0.204 0.691
I2 I 0.000 0.320 0.032
```

Its uncorrected formation energy is -0.49 eV/atom. The value obtained for the final energy is -3.19 eV/atom.

=====

Entry from the Alexandria database: a geometry-optimized NaNpAgI5 structure (PBE-GGA).

```
data_NaNpAgI5
_space_group_name_H-M_alt 'C 1 2/c 1'
_space_group_IT_number 15
_cell_length_a 8.905
_cell_length_b 14.476
_cell_length_c 11.463
_cell_angle_alpha 90.00
_cell_angle_beta 110.30
_cell_angle_gamma 90.00
loop_
_space_group_symop_operation_xyz
'x,y,z'
'-x,-y,-z'
'-x,y,-z+1/2'
'x,-y,z+1/2'
'x+1/2,y+1/2,z'
'-x+1/2,-y+1/2,-z'
'-x+1/2,y+1/2,-z+1/2'
'x+1/2,-y+1/2,z+1/2'
loop_
_atom_site_label
_atom_site_type_symbol
_atom_site_fract_x
_atom_site_fract_y
_atom_site_fract_z
Na1 Na 0.000 0.057 0.250
Np1 Np 0.000 0.500 0.000
Ag1 Ag 0.000 0.221 0.750
I1 I 0.000 0.415 0.250
I2 I 0.167 0.095 0.951
I3 I 0.186 0.327 0.640
```

Its uncorrected formation energy is -0.77 eV/atom. The value obtained for the final energy is -3.88 eV/atom.

=====

Entry from the Alexandria database: a geometry-optimized NaAgI2O structure (PBE-GGA).

```
data_NaAgI2O
_space_group_name_H-M_alt 'P 4/m m m'
_space_group_IT_number 123
_space_group_name_Hall '-P 4 2'
_cell_length_a 5.850
_cell_length_b 5.850
_cell_length_c 4.127
_cell_angle_alpha 90.00
_cell_angle_beta 90.00
_cell_angle_gamma 90.00
loop_
_atom_site_label
_atom_site_type_symbol
_atom_site_fract_x
_atom_site_fract_y
_atom_site_fract_z
Na1 Na 0.000 0.000 0.000
Ag1 Ag 0.500 0.500 0.500
I1 I 0.000 0.500 0.500
O1 O 0.500 0.500 0.000
```

Its uncorrected formation energy is -0.26 eV/atom. As for the energy above the lowest structure with this stoichiometry: 0.0000 eV per atom. The value obtained for the final energy is -2.71 eV/atom.

=====

Entry from the Alexandria database: a geometry-optimized NaAg2IO6 structure (PBE-GGA).

```
data_NaAg2IO6
_space_group_name_H-M_alt 'R 3'
_space_group_IT_number 146
_space_group_name_Hall 'R 3'
_cell_length_a 5.6064
_cell_length_b 5.6064
_cell_length_c 15.5218
_cell_angle_alpha 90.00
_cell_angle_beta 90.00
_cell_angle_gamma 120.00
loop_
_atom_site_label
_atom_site_type_symbol
_atom_site_fract_x
_atom_site_fract_y
_atom_site_fract_z
Na1 Na 0.0000 0.0000 0.0000
Ag1 Ag 0.0000 0.0000 0.2040
Ag2 Ag 0.0000 0.0000 0.7278
I1 I 0.0000 0.0000 0.5259
O1 O 0.0619 0.3689 0.1241
O2 O 0.0673 0.6789 0.2684
```

Its uncorrected formation energy is -0.41 eV/atom. The value obtained for the final energy is -4.24 eV/atom.

=====

Entry from the Alexandria database: a geometry-optimized NaAg2IO4 structure (PBE-GGA).

```
data_NaAg2IO4
_space_group_name_H-M_alt 'C 1 2 1'
_space_group_IT_number 5
_cell_length_a 6.848
_cell_length_b 6.806
_cell_length_c 5.967
_cell_angle_alpha 90.00
_cell_angle_beta 121.23
_cell_angle_gamma 90.00
loop_
_space_group_symop_operation_xyz
'x,y,z'
'-x,y,-z'
'x+1/2,y+1/2,z'
'-x+1/2,y+1/2,-z'
loop_
_atom_site_label
_atom_site_type_symbol
_atom_site_fract_x
_atom_site_fract_y
_atom_site_fract_z
Na1 Na 0.000 0.000 0.000
Ag1 Ag 0.000 0.496 0.000
Ag2 Ag 0.000 0.742 0.500
I1 I 0.000 0.247 0.500
O1 O 0.191 0.059 0.473
O2 O 0.204 0.249 0.889
```

Its uncorrected formation energy is -0.50 eV/atom. The value obtained for the final energy is -4.05 eV/atom.

=====

Entry from the Alexandria database: a geometry-optimized Na3Ag2IO6 structure (PBE-GGA).

```
data_Na3Ag2IO6
_space_group_name_H-M_alt 'C 1 2/m 1'
_space_group_IT_number 12
_cell_length_a 6.363
_cell_length_b 10.021
_cell_length_c 5.842
_cell_angle_alpha 90.00
_cell_angle_beta 116.38
_cell_angle_gamma 90.00
loop_
_space_group_symop_operation_xyz
'x,y,z'
'-x,-y,-z'
'-x,y,-z'
'x,-y,z'
'x+1/2,y+1/2,z'
'-x+1/2,-y+1/2,-z'
'-x+1/2,y+1/2,-z'
'x+1/2,-y+1/2,z'
loop_
_atom_site_label
_atom_site_type_symbol
_atom_site_fract_x
_atom_site_fract_y
_atom_site_fract_z
Na1 Na 0.000 0.000 0.000
Na2 Na 0.000 0.330 0.000
Ag1 Ag 0.000 0.164 0.500
I1 I 0.000 0.500 0.500
O1 O 0.193 0.364 0.735
O2 O 0.196 0.500 0.324
```

Its uncorrected formation energy is -0.83 eV/atom. The value obtained for the final energy is -4.24 eV/atom.

=====

Entry from the Alexandria database: a geometry-optimized NaAgIO4 structure (PBE-GGA).

```
data_NaAgIO4
_space_group_name_H-M_alt 'I m m a'
_space_group_IT_number 74
_space_group_name_Hall '-I 2b 2'
_cell_length_a 6.569
_cell_length_b 6.922
_cell_length_c 9.504
_cell_angle_alpha 90.00
_cell_angle_beta 90.00
_cell_angle_gamma 90.00
loop_
_atom_site_label
_atom_site_type_symbol
_atom_site_fract_x
_atom_site_fract_y
_atom_site_fract_z
Na1 Na 0.000 0.000 0.000
Ag1 Ag 0.250 0.250 0.250
I1 I 0.000 0.250 0.686
O1 O 0.000 0.047 0.258
O2 O 0.223 0.250 0.568
```

Its uncorrected formation energy is -0.53 eV/atom. The value obtained for the final energy is -4.18 eV/atom.

=====

Entry from the Alexandria database: a geometry-optimized NaAgI2O structure (PBE-GGA).

```
data_NaAgI2O
_space_group_name_H-M_alt 'P 4/m m m'
_space_group_IT_number 123
_space_group_name_Hall '-P 4 2'
_cell_length_a 5.900
_cell_length_b 5.900
_cell_length_c 4.160
_cell_angle_alpha 90.00
_cell_angle_beta 90.00
_cell_angle_gamma 90.00
loop_
_atom_site_label
_atom_site_type_symbol
_atom_site_fract_x
_atom_site_fract_y
_atom_site_fract_z
Na1 Na 0.000 0.000 0.000
Ag1 Ag 0.500 0.500 0.500
I1 I 0.000 0.500 0.000
O1 O 0.000 0.000 0.500
```

Its uncorrected formation energy is 0.25 eV/atom. As for the energy above the lowest structure with this stoichiometry: 0.5089 eV per atom. The value obtained for the final energy is -2.20 eV/atom.